Compound: CaSm2Hg
Source: Alexandria via LeMat-Bulk
Functional: GGA-PBE
Structure: relaxed

Values from the calculation:
The calculation puts the spin magnetization at 0.0 μB/f.u. Its crystal system is tetragonal. The uncorrected energy comes out at -0.225 Ry/atom. As for the formation energy from the elements: -12.29 kJ per mole of atoms.

a b c (Å): 4.9806 4.9806 4.8243
angles (deg): 90.00 90.00 90.00
Closest atoms and distances in Å follow each position.
Sites, in units of the cell vectors:
Ca 0.0000 0.0000 0.0000  8 Sm 3.47, 4 Hg 3.52
Sm 0.0000 0.5000 0.5000  4 Hg 3.47, 4 Ca 3.47, 4 Sm 3.52
Sm 0.5000 0.0000 0.5000  4 Hg 3.47, 4 Ca 3.47, 4 Sm 3.52
Hg 0.5000 0.5000 0.0000  8 Sm 3.47, 4 Ca 3.52

***

Compound: Hf3P2
Source: Alexandria via LeMat-Bulk
Functional: GGA-PBE
Structure: relaxed

Values from the calculation:
The calculation puts the spin magnetization at 0.0 μB/f.u. Its crystal system is orthorhombic. The uncorrected energy comes out at -0.683 Ry/atom. As for the formation energy from the elements: -111.71 kJ per mole of atoms.

a b c (Å): 10.1860 3.5854 9.8769
angles (deg): 90.00 90.00 90.00
Closest atoms and distances in Å follow each position.
Sites, in units of the cell vectors:
Hf 0.0459 0.2500 0.1264  5 P 2.63-2.74
Hf 0.1242 0.7500 0.5649  5 P 2.60-2.66
Hf 0.2158 0.2500 0.7973  4 P 2.63-2.74
Hf 0.2842 0.7500 0.2973  4 P 2.63-2.74
Hf 0.3758 0.2500 0.0649  5 P 2.60-2.66
Hf 0.4541 0.7500 0.6264  5 P 2.63-2.74
Hf 0.5459 0.2500 0.3736  5 P 2.63-2.74
Hf 0.6242 0.7500 0.9351  5 P 2.60-2.66
Hf 0.7158 0.2500 0.7027  4 P 2.63-2.74
Hf 0.7842 0.7500 0.2027  4 P 2.63-2.74
Hf 0.8758 0.2500 0.4351  5 P 2.60-2.66
Hf 0.9541 0.7500 0.8736  5 P 2.63-2.74
P 0.0274 0.7500 0.3208  7 Hf 2.60-2.74
P 0.1932 0.7500 0.0000  7 Hf 2.65-2.74
P 0.3068 0.2500 0.5000  7 Hf 2.65-2.74
P 0.4726 0.2500 0.8208  7 Hf 2.60-2.74
P 0.5274 0.7500 0.1792  7 Hf 2.60-2.74
P 0.6932 0.7500 0.5000  7 Hf 2.65-2.74
P 0.8068 0.2500 0.0000  7 Hf 2.65-2.74
P 0.9726 0.2500 0.6792  7 Hf 2.60-2.74

***

Compound: TaBe4W
Source: Alexandria via LeMat-Bulk
Functional: GGA-PBE
Structure: relaxed

Values from the calculation:
The calculation puts the spin magnetization at 0.0 μB/f.u. Its crystal system is cubic. The uncorrected energy comes out at -0.506 Ry/atom. As for the formation energy from the elements: -25.45 kJ per mole of atoms.

a b c (Å): 4.5448 4.5448 4.5448
angles (deg): 60.00 60.00 60.00
Closest atoms and distances in Å follow each position.
Sites, in units of the cell vectors:
Ta 0.0000 0.0000 0.0000  12 Be 2.67, 4 W 2.78
Be 0.1281 0.6240 0.6240  6 Be 2.25-2.29
Be 0.6240 0.1281 0.6240  6 Be 2.25-2.29
Be 0.6240 0.6240 0.1281  6 Be 2.25-2.29
Be 0.6240 0.6240 0.6240  6 Be 2.25-2.29
W 0.2500 0.2500 0.2500  12 Be 2.66, 4 Ta 2.78

***

Compound: Li3CdAg7
Source: Alexandria via LeMat-Bulk
Functional: GGA-PBE
Structure: relaxed

Values from the calculation:
The calculation puts the spin magnetization at 0.0 μB/f.u. Its crystal system is monoclinic. The uncorrected energy comes out at -0.178 Ry/atom. As for the formation energy from the elements: 0.38 kJ per mole of atoms.

a b c (Å): 6.4435 6.4435 5.3995
angles (deg): 104.51 104.51 97.38
Closest atoms and distances in Å follow each position.
Sites, in units of the cell vectors:
Li 0.0000 0.0000 0.0000  6 Ag 2.72-2.75
Li 0.2315 0.7685 0.5000  7 Ag 2.60-2.67
Li 0.7685 0.2315 0.5000  7 Ag 2.60-2.67
Cd 0.5000 0.5000 0.0000  8 Ag 2.70-2.95
Ag 0.0594 0.5870 0.8075  3 Li 2.63-2.72, 2 Ag 2.81-2.94
Ag 0.1785 0.1785 0.5450  3 Li 2.67-2.75, 6 Ag 2.84-2.97, 1 Cd 2.90
Ag 0.4130 0.9406 0.1925  3 Li 2.63-2.72, 2 Ag 2.81-2.94
Ag 0.5000 0.5000 0.5000  2 Li 2.60, 2 Cd 2.70, 2 Ag 2.84
Ag 0.5870 0.0594 0.8075  3 Li 2.63-2.72, 2 Ag 2.81-2.94
Ag 0.8215 0.8215 0.4550  3 Li 2.67-2.75, 6 Ag 2.84-2.97, 1 Cd 2.90
Ag 0.9406 0.4130 0.1925  3 Li 2.63-2.72, 2 Ag 2.81-2.94

***

Compound: ZnTcO4
Source: Alexandria via LeMat-Bulk
Functional: GGA-PBE
Structure: relaxed

Values from the calculation:
The calculation puts the spin magnetization at 1.0 μB/f.u. Its crystal system is monoclinic. Its formation energy without anion corrections is -1281 meV/atom. The uncorrected energy comes out at -0.480 Ry/atom.

a b c (Å): 7.0654 5.1226 10.1475
angles (deg): 90.00 109.30 90.00
Closest atoms and distances in Å follow each position.
Sites, in units of the cell vectors:
Zn 0.0960 0.1308 0.3929  4 O 1.94-2.06
Zn 0.0960 0.3692 0.8929  4 O 1.94-2.06
Zn 0.9040 0.6308 0.1071  4 O 1.94-2.06
Zn 0.9040 0.8692 0.6071  4 O 1.94-2.06
Tc 0.3178 0.5947 0.6500  4 O 1.76-1.86
Tc 0.3178 0.9053 0.1500  4 O 1.76-1.86
Tc 0.6822 0.0947 0.8500  4 O 1.76-1.86
Tc 0.6822 0.4053 0.3500  4 O 1.76-1.86
O 0.1227 0.5626 0.7356  1 Tc 1.86, 1 Zn 1.94
O 0.1227 0.9374 0.2356  1 Tc 1.86, 1 Zn 1.94
O 0.1666 0.6203 0.0612  1 Tc 1.86, 2 Zn 2.06
O 0.1666 0.8797 0.5612  1 Tc 1.86, 2 Zn 2.06
O 0.2917 0.0989 0.0014  1 Tc 1.76
O 0.2917 0.4011 0.5014  1 Tc 1.76
O 0.4521 0.2243 0.2776  1 Tc 1.80
O 0.4521 0.2757 0.7776  1 Tc 1.80
O 0.5479 0.7243 0.2224  1 Tc 1.80
O 0.5479 0.7757 0.7224  1 Tc 1.80
O 0.7083 0.5989 0.4986  1 Tc 1.76
O 0.7083 0.9011 0.9986  1 Tc 1.76
O 0.8334 0.1203 0.4388  1 Tc 1.86, 2 Zn 2.06
O 0.8334 0.3797 0.9388  1 Tc 1.86, 2 Zn 2.06
O 0.8773 0.0626 0.7644  1 Tc 1.86, 1 Zn 1.94
O 0.8773 0.4374 0.2644  1 Tc 1.86, 1 Zn 1.94

***

Compound: K2YCr
Source: Alexandria via LeMat-Bulk
Functional: GGA-PBE
Structure: relaxed

Values from the calculation:
The calculation puts the spin magnetization at 4.2 μB/f.u. Its crystal system is tetragonal. The uncorrected energy comes out at -0.273 Ry/atom. As for the formation energy from the elements: 82.97 kJ per mole of atoms.

a b c (Å): 7.3591 7.3591 7.3591
angles (deg): 142.69 142.69 53.79
Closest atoms and distances in Å follow each position.
Sites, in units of the cell vectors:
K 0.2500 0.7500 0.5000  4 K 3.33
K 0.7500 0.2500 0.5000  4 K 3.33
Y 0.0000 0.0000 0.0000  4 Cr 3.33
Cr 0.5000 0.5000 0.0000  4 Y 3.33